# 1
Material: K2HfBr
Method: DFT, meta-GGA SCAN
State: single point on PBEsol structure

Results
The space group is No. 225. The density of states at the Fermi level comes out at 2.90 states/eV/cell. The crystal system is cubic. The energy comes out at -24.159 eV per atom.

POSCAR file:
```
K2HfBr
1.0
6.007 0.000 0.000
3.004 5.202 0.000
3.004 1.734 4.905
Hf K Br
1 2 1
Direct
0.500 0.500 0.500 Hf
0.250 0.250 0.250 K
0.750 0.750 0.750 K
0.000 0.000 0.000 Br
```

***

# 2
Material: WSe5
Method: DFT, meta-GGA SCAN
State: single point on PBEsol structure

Results
The space group is No. 216. The density of states at the Fermi level comes out at 3.98 states/eV/cell. The crystal system is cubic. The energy comes out at -26.911 eV per atom.

POSCAR file:
```
WSe5
1.0
-0.191 5.401 0.828
-4.553 2.306 1.962
-0.083 1.983 5.094
Se W
5 1
Direct
0.250 0.250 0.250 Se
0.626 0.626 0.626 Se
0.626 0.122 0.626 Se
0.122 0.626 0.626 Se
0.626 0.626 0.122 Se
0.000 0.000 0.000 W
```

***

# 3
Material: BeMo2Cl
Method: DFT, meta-GGA SCAN
State: single point on PBEsol structure

Results
The space group is No. 123. The density of states at the Fermi level comes out at 1.64 states/eV/cell. The crystal system is tetragonal. The energy comes out at -20.216 eV per atom.

POSCAR file:
```
BeMo2Cl
1.0
-0.951 -2.616 -1.108
2.420 -1.358 1.130
-3.105 -1.119 5.306
Cl Mo Be
1 2 1
Direct
0.500 0.500 0.500 Cl
0.000 0.000 0.811 Mo
0.000 0.000 0.189 Mo
0.500 0.500 0.000 Be
```

***

# 4
Material: LiMnAlO4
Method: DFT, meta-GGA SCAN
State: single point on PBEsol structure

Results
The space group is No. 62. The density of states at the Fermi level comes out at 0.00 states/eV/cell. The crystal system is orthorhombic. The energy comes out at -10.262 eV per atom.

POSCAR file:
```
LiMnAlO4
1.0
2.823 0.000 0.000
0.000 9.173 0.000
0.000 0.000 9.939
Li O Mn Al
4 16 4 4
Direct
0.750 0.918 0.875 Li
0.750 0.418 0.625 Li
0.250 0.082 0.125 Li
0.250 0.582 0.375 Li
0.750 0.869 0.063 O
0.250 0.107 0.464 O
0.250 0.631 0.563 O
0.250 0.917 0.283 O
0.750 0.583 0.783 O
0.750 0.393 0.964 O
0.250 0.417 0.217 O
0.750 0.668 0.242 O
0.750 0.369 0.437 O
0.250 0.832 0.742 O
0.250 0.131 0.937 O
0.750 0.893 0.536 O
0.250 0.607 0.036 O
0.250 0.332 0.758 O
0.750 0.083 0.717 O
0.750 0.168 0.258 O
0.250 0.276 0.349 Mn
0.250 0.776 0.151 Mn
0.750 0.724 0.651 Mn
0.750 0.224 0.849 Mn
0.750 0.500 0.126 Al
0.250 0.500 0.874 Al
0.250 0.000 0.626 Al
0.750 0.000 0.374 Al
```

***

# 5
Material: RbTcWSe2
Method: DFT, meta-GGA SCAN
State: single point on PBEsol structure

Results
The space group is No. 123. The density of states at the Fermi level comes out at 4.64 states/eV/cell. The crystal system is tetragonal. The energy comes out at -31.755 eV per atom.

POSCAR file:
```
RbTcWSe2
1.0
-3.647 2.915 1.314
-2.822 -1.996 -3.403
-1.899 -4.192 4.033
Rb Se W Tc
1 2 1 1
Direct
0.000 0.000 0.500 Rb
0.500 0.000 0.000 Se
0.000 0.500 0.000 Se
0.000 0.000 0.000 W
0.500 0.500 0.500 Tc
```

***

# 6
Material: Li2MnCl
Method: DFT, meta-GGA SCAN
State: single point on PBEsol structure

Results
The space group is No. 123. The density of states at the Fermi level comes out at 2.58 states/eV/cell. The crystal system is tetragonal. The energy comes out at -8.080 eV per atom.

POSCAR file:
```
Li2MnCl
1.0
3.271 0.000 0.000
0.000 4.404 0.000
0.000 0.000 4.404
Li Mn Cl
2 1 1
Direct
0.000 0.000 0.500 Li
0.000 0.500 0.000 Li
0.500 0.500 0.500 Mn
0.500 0.000 0.000 Cl
```